[1]
Density functional theory data (PBE) for crystalline HfNbHg at its relaxed geometry.

Cell lengths 2.991, 2.991, 7.139 Å; angles 102.09, 102.09, 90.00 degrees
Fractional coordinates of all 3 atoms:
Nb (0.669, 0.669, 0.338)
Hf (0.329, 0.329, 0.658)
Hg (0.002, 0.002, 0.004)

Density of states at the Fermi level (states/eV per cell): 2.9
Energy above the most stable polymorph in this dataset (meV/atom): 96.5
ΔH_f (0 K) (kcal/mol of atoms): 1.2
Raw total energy (eV/atom): -6.725



[2]
Density functional theory data (PBE) for crystalline Na2AcSO8 at its relaxed geometry.

Cell lengths 5.164, 5.164, 6.715 Å; angles 90.00, 90.00, 120.00 degrees
Fractional coordinates of all 12 atoms:
Na (0.667, 0.333, 0.113)
Na (0.333, 0.667, 0.887)
Ac (0.000, 0.000, 0.500)
S (0.000, 0.000, 0.000)
O (0.852, 0.705, 0.856)
O (0.295, 0.148, 0.856)
O (0.852, 0.148, 0.856)
O (0.148, 0.295, 0.144)
O (0.705, 0.852, 0.144)
O (0.148, 0.852, 0.144)
O (0.667, 0.333, 0.464)
O (0.333, 0.667, 0.536)

Density of states at the Fermi level (states/eV per cell): 5.2
Raw total energy (eV/atom): -5.283
Formation energy (no corrections) (eV per atom): -1.07



[3]
Density functional theory data (PBE) for crystalline TaIr2Cl at its relaxed geometry.

Cell lengths 4.476, 4.476, 4.476 Å; angles 60.00, 60.00, 60.00 degrees
Fractional coordinates of all 4 atoms:
Cl (0.500, 0.500, 0.500)
Ir (0.000, 0.000, 0.000)
Ir (0.250, 0.250, 0.250)
Ta (0.750, 0.750, 0.750)

Density of states at the Fermi level (states/eV per cell): 4.0
Energy above the most stable polymorph in this dataset (meV/atom): 416.1
Raw total energy (eV/atom): -7.452
Formation energy (no corrections) (eV per atom): 0.40



[4]
Density functional theory data (PBE) for crystalline K2SnCl at its relaxed geometry.

Cell lengths 6.008, 6.008, 6.008 Å; angles 60.00, 60.00, 60.00 degrees
Fractional coordinates of all 4 atoms:
K (0.250, 0.250, 0.250)
K (0.750, 0.750, 0.750)
Sn (0.500, 0.500, 0.500)
Cl (0.000, 0.000, 0.000)

Density of states at the Fermi level (states/eV per cell): 0.0
Energy above the most stable polymorph in this dataset (meV/atom): 99.0
Raw total energy (eV/atom): -2.533
Formation energy (no corrections) (eV per atom): -0.52



[5]
Density functional theory data (PBE) for crystalline PuInH2 at its relaxed geometry.

Cell lengths 3.687, 3.687, 5.623 Å; angles 70.86, 70.86, 60.00 degrees
Fractional coordinates of all 4 atoms:
H (0.299, 0.299, 0.103)
H (0.701, 0.701, 0.897)
In (0.500, 0.500, 0.500)
Pu (0.000, 0.000, 0.000)

Density of states at the Fermi level (states/eV per cell): 9.1
Raw total energy (eV/atom): -6.091



[6]
Density functional theory data (PBE) for crystalline FeNiRu2 at its relaxed geometry.

Cell lengths 4.201, 4.201, 4.201 Å; angles 60.00, 60.00, 60.00 degrees
Fractional coordinates of all 4 atoms:
Fe (0.500, 0.500, 0.500)
Ni (0.750, 0.750, 0.750)
Ru (0.000, 0.000, 0.000)
Ru (0.250, 0.250, 0.250)

Density of states at the Fermi level (states/eV per cell): 7.2
ΔH_f (0 K) (kcal/mol of atoms): 7.2
Raw total energy (eV/atom): -7.887



Question: Which formula does entry 4 have?
Answer: K2SnCl